A plane-wave DFT calculation with SCAN was carried out for Os2Pt at its PBEsol-relaxed geometry.

Results
N(E_F) = 3.84 states/eV per cell
E_form = 0.092 eV/atom
Total magnetic moment = 0.00 μB per cell
ΔE to the lowest computed polymorph = 0.0196 eV per atom

Cell lengths 2.716, 2.716, 11.642 Å; angles 90.00, 90.00, 90.00 degrees
Space group I4/mmm (No. 139)
Unique sites:
Os  0.000  0.000  0.174 (multiplicity 4)
Pt  0.000  0.000  0.500 (multiplicity 2)

---

A plane-wave DFT calculation with SCAN was carried out for Os5Pt at its PBEsol-relaxed geometry.

Results
N(E_F) = 7.48 states/eV per cell
E_form = 0.085 eV/atom
Total magnetic moment = 0.00 μB per cell
ΔE to the lowest computed polymorph = 0.0135 eV per atom

Cell lengths 9.905, 2.737, 6.421 Å; angles 90.00, 103.91, 90.00 degrees
Space group Cm (No. 8)
Unique sites:
Os  0.000  0.000  0.000 (multiplicity 2)
Os  0.055  0.000  0.619 (multiplicity 2)
Os  0.161  0.500  0.339 (multiplicity 2)
Os  0.217  0.500  0.941 (multiplicity 2)
Os  0.331  0.000  0.670 (multiplicity 2)
Pt  0.385  0.000  0.279 (multiplicity 2)